First-principles (PBE) data for Tb7TlS5 after structural relaxation, as listed in Alexandria.

Geometry as CIF:
```
data_Tb7TlS5
_chemical_formula_sum 'Tb14 Tl2 S10'
_space_group_name_H-M_alt 'P 1'
_space_group_IT_number 1
_space_group_name_Hall 'P 1'
_cell_length_a 6.844
_cell_length_b 6.844
_cell_length_c 23.677
_cell_angle_alpha 90.01
_cell_angle_beta 90.01
_cell_angle_gamma 33.51
loop_
_atom_site_label
_atom_site_fract_x
_atom_site_fract_y
_atom_site_fract_z
Tb1 0.015 0.015 0.250
Tb2 0.136 0.136 0.964
Tb3 0.137 0.137 0.536
Tb4 0.325 0.325 0.171
Tb5 0.325 0.325 0.329
Tb6 0.407 0.407 0.891
Tb7 0.408 0.408 0.609
Tb8 0.592 0.592 0.391
Tb9 0.593 0.593 0.109
Tb10 0.675 0.675 0.671
Tb11 0.675 0.675 0.829
Tb12 0.863 0.863 0.464
Tb13 0.864 0.864 0.036
Tb14 0.985 0.985 0.750
Tl1 0.300 0.300 0.750
Tl2 0.700 0.700 0.250
S1 0.043 0.043 0.639
S2 0.044 0.044 0.861
S3 0.226 0.226 0.070
S4 0.227 0.227 0.430
S5 0.500 0.500 0.000
S6 0.500 0.500 0.500
S7 0.773 0.773 0.570
S8 0.774 0.774 0.930
S9 0.956 0.956 0.139
S10 0.957 0.957 0.361
```

First-principles (PBE) data for TbTl2S4 after structural relaxation, as listed in Alexandria.

Geometry as CIF:
```
data_TbTl2S4
_chemical_formula_sum 'Tb2 Tl4 S8'
_space_group_name_H-M_alt 'P 1'
_space_group_IT_number 1
_space_group_name_Hall 'P 1'
_cell_length_a 8.188
_cell_length_b 8.188
_cell_length_c 8.188
_cell_angle_alpha 121.19
_cell_angle_beta 118.90
_cell_angle_gamma 89.94
loop_
_atom_site_label
_atom_site_fract_x
_atom_site_fract_y
_atom_site_fract_z
Tb1 0.000 0.000 0.000
Tb2 0.500 0.000 0.500
Tl1 0.000 0.000 0.500
Tl2 0.000 0.500 0.000
Tl3 0.383 0.633 0.750
Tl4 0.617 0.367 0.250
S1 0.215 0.241 0.974
S2 0.233 0.759 0.474
S3 0.247 0.224 0.477
S4 0.247 0.770 0.023
S5 0.753 0.230 0.977
S6 0.753 0.776 0.523
S7 0.767 0.241 0.526
S8 0.785 0.759 0.026
```

| no. | ΔE_f (raw) (meV/atom) |
| --- | --- |
| 1 | -1631 |
| 2 | -763 |